Cs4Dy3ScSe8 | PBE | optimized geometry

Unit cell a=9.6718 b=9.6718 c=9.6718 alpha=51.73 beta=51.73 gamma=51.73
Closest atoms and distances in Å follow each position.
Fractional positions:
Cs  0.0000  0.0000  0.0000  6 Se 3.66
Cs  0.0000  0.5000  0.5000  6 Se 3.58
Cs  0.5000  0.0000  0.5000  6 Se 3.58
Cs  0.5000  0.5000  0.0000  6 Se 3.58
Dy  0.0000  0.0000  0.5000  6 Se 2.89-2.90
Dy  0.0000  0.5000  0.0000  6 Se 2.89-2.90
Dy  0.5000  0.0000  0.0000  6 Se 2.89-2.90
Sc  0.5000  0.5000  0.5000  6 Se 2.81
Se  0.2289  0.2289  0.2289  3 Dy 2.89
Se  0.2375  0.7223  0.7223  1 Sc 2.81, 2 Dy 2.90
Se  0.2777  0.2777  0.7625  1 Sc 2.81, 2 Dy 2.90
Se  0.2777  0.7625  0.2777  1 Sc 2.81, 2 Dy 2.90
Se  0.7223  0.2375  0.7223  1 Sc 2.81, 2 Dy 2.90
Se  0.7223  0.7223  0.2375  1 Sc 2.81, 2 Dy 2.90
Se  0.7625  0.2777  0.2777  1 Sc 2.81, 2 Dy 2.90
Se  0.7711  0.7711  0.7711  3 Dy 2.89

Calculated values
calculated density = 5.46 g cm⁻³
raw total energy = -78.4 eV/f.u.
ΔE_f (raw) = -1.68 eV/atom
SG = R-3m, No. 166
DOS at the Fermi energy = 0.0 states/eV/f.u.